(1)
The following is a DFT calculation (PBE-GGA) of a relaxed Ho3Cu2Ni3 crystal.

abc: 4.0037 5.5630 13.6829
angles: 90.00 90.00 111.09
Fractional coordinates of all 16 atoms:
Ho1 0.9139 0.8279 0.3934
Ho2 0.0861 0.1721 0.6066
Ho3 0.6366 0.2732 0.2500
Ho4 0.3634 0.7268 0.7500
Ho5 0.0861 0.1721 0.8934
Ho6 0.9139 0.8279 0.1066
Cu1 0.7879 0.5759 0.9049
Cu2 0.2121 0.4241 0.0951
Cu3 0.2121 0.4241 0.4049
Cu4 0.7879 0.5759 0.5951
Ni1 0.3971 0.7942 0.9604
Ni2 0.6029 0.2058 0.4604
Ni3 0.3971 0.7942 0.5396
Ni4 0.3452 0.6904 0.2500
Ni5 0.6548 0.3096 0.7500
Ni6 0.6029 0.2058 0.0396

## Properties
total moment = 0.0 μB per cell
ΔE_f = -8.57 kcal/mol of atoms
SG = No. 63
DFT total energy = -84.5 eV per cell
mass density = 9.32 Mg/m³

(2)
The following is a DFT calculation (PBE-GGA) of a relaxed CuReHg4 crystal.

abc: 5.6716 5.6716 5.6716
angles: 60.00 60.00 60.00
Fractional coordinates of all 6 atoms:
Hg1 0.8747 0.3751 0.3751
Hg2 0.3751 0.3751 0.3751
Hg3 0.3751 0.3751 0.8747
Hg4 0.3751 0.8747 0.3751
Re1 0.7500 0.7500 0.7500
Cu1 0.0000 0.0000 0.0000

## Properties
total moment = 3.0 μB per cell
ΔE_f = 26.87 kcal/mol of atoms
SG = No. 216
DFT total energy = -10.8 eV per cell
mass density = 13.54 Mg/m³

(3)
The following is a DFT calculation (PBE-GGA) of a relaxed Te2Cl crystal.

abc: 3.1912 7.8181 9.0042
angles: 90.00 90.00 90.00
Fractional coordinates of all 6 atoms:
Te1 0.0000 0.3405 0.9350
Te2 0.0000 0.6595 0.0650
Te3 0.5000 0.8405 0.5650
Te4 0.5000 0.1595 0.4350
Cl1 0.5000 0.5000 0.5000
Cl2 0.0000 0.0000 0.0000

## Properties
total moment = 0.0 μB per cell
SG = No. 58
DFT total energy = -16.6 eV per cell
raw formation energy = -0.053 eV per atom
mass density = 4.30 Mg/m³

(4)
The following is a DFT calculation (PBE-GGA) of a relaxed Pr3Dy3In2 crystal.

abc: 4.9020 4.9250 9.9681
angles: 90.00 90.00 90.00
Fractional coordinates of all 8 atoms:
Pr1 0.0000 0.5000 0.0000
Pr2 0.0000 0.5000 0.5000
Pr3 0.5000 0.0000 0.5000
Dy1 0.5000 0.5000 0.7525
Dy2 0.5000 0.0000 0.0000
Dy3 0.5000 0.5000 0.2475
In1 0.0000 0.0000 0.7546
In2 0.0000 0.0000 0.2454

## Properties
total moment = 0.0 μB per cell
ΔE_f = -6.09 kcal/mol of atoms
SG = No. 47
DFT total energy = -35.7 eV per cell
mass density = 7.87 Mg/m³

(5)
The following is a DFT calculation (PBE-GGA) of a relaxed CaP2RuO crystal.

abc: 4.8687 4.8687 3.7654
angles: 90.00 90.00 90.00
Fractional coordinates of all 5 atoms:
Ca1 0.5000 0.5000 0.5000
P1 0.0000 0.5000 0.0000
P2 0.5000 0.0000 0.0000
Ru1 0.0000 0.0000 0.0000
O1 0.0000 0.0000 0.5000

## Properties
total moment = 0.9 μB per cell
SG = No. 123
DFT total energy = -29.0 eV per cell
raw formation energy = -0.394 eV per atom
mass density = 4.08 Mg/m³

(6)
The following is a DFT calculation (PBE-GGA) of a relaxed BeFeRuC crystal.

abc: 3.7200 3.7200 3.7200
angles: 60.00 60.00 60.00
Fractional coordinates of all 4 atoms:
Ru1 0.0000 0.0000 0.0000
C1 0.2500 0.2500 0.2500
Be1 0.7500 0.7500 0.7500
Fe1 0.5000 0.5000 0.5000

## Properties
total moment = 0.8 μB per cell
ΔE_f = 13.16 kcal/mol of atoms
SG = No. 216
DFT total energy = -28.4 eV per cell
mass density = 8.12 Mg/m³

(7)
The following is a DFT calculation (PBE-GGA) of a relaxed NaAsN crystal.

abc: 6.2362 3.1522 5.7478
angles: 90.00 62.71 90.00
Fractional coordinates of all 6 atoms:
Na1 0.2485 0.2500 0.4403
Na2 0.7515 0.7500 0.5597
As1 0.2162 0.7500 0.9633
As2 0.7838 0.2500 0.0367
N1 0.9919 0.2500 0.2010
N2 0.0081 0.7500 0.7990

## Properties
total moment = 0.0 μB per cell
SG = No. 11
DFT total energy = -27.5 eV per cell
raw formation energy = 0.184 eV per atom
mass density = 3.70 Mg/m³

(8)
The following is a DFT calculation (PBE-GGA) of a relaxed RbTbAuS2 crystal.

abc: 5.0469 7.6250 7.7594
angles: 100.08 90.00 90.00
Fractional coordinates of all 10 atoms:
Rb1 0.8523 0.5000 0.2500
Rb2 0.1477 0.5000 0.7500
S1 0.3448 0.2324 0.0378
S2 0.6552 0.2324 0.5378
S3 0.3448 0.7676 0.4622
S4 0.6552 0.7676 0.9622
Au1 0.0000 0.0000 0.5000
Au2 0.0000 0.0000 0.0000
Tb1 0.5066 0.0000 0.7500
Tb2 0.4934 0.0000 0.2500

## Properties
total moment = 0.0 μB per cell
SG = No. 13
DFT total energy = -45.8 eV per cell
raw formation energy = -1.153 eV per atom
mass density = 5.71 Mg/m³

(9)
The following is a DFT calculation (PBE-GGA) of a relaxed Pa7ZnTc4 crystal.

abc: 5.4717 7.5954 7.4652
angles: 70.28 68.50 68.89
Fractional coordinates of all 12 atoms:
Tc1 0.7055 0.6205 0.9686
Tc2 0.4572 0.7428 0.3429
Tc3 0.2945 0.3795 0.0314
Tc4 0.5428 0.2572 0.6571
Pa1 0.2045 0.1160 0.4750
Pa2 0.9448 0.3827 0.7277
Pa3 0.0552 0.6173 0.2723
Pa4 0.7149 0.3105 0.2596
Pa5 0.7955 0.8840 0.5250
Pa6 0.5000 0.0000 0.0000
Pa7 0.2851 0.6895 0.7404
Zn1 0.0000 0.0000 0.0000

## Properties
total moment = 0.0 μB per cell
ΔE_f = 0.03 kcal/mol of atoms
SG = No. 12
DFT total energy = -109.2 eV per cell
mass density = 13.17 Mg/m³

(10)
The following is a DFT calculation (PBE-GGA) of a relaxed PmErAu2O8 crystal.

abc: 5.3599 5.3599 6.4996
angles: 114.35 114.35 90.00
Fractional coordinates of all 12 atoms:
O1 0.8704 0.3971 0.2554
O2 0.3850 0.8582 0.2554
O3 0.6029 0.1299 0.7448
O4 0.1418 0.1296 0.7446
O5 0.8701 0.8581 0.2552
O6 0.1419 0.6149 0.7448
O7 0.3851 0.3971 0.2552
O8 0.6029 0.6150 0.7446
Pm1 0.0000 0.0000 0.0000
Au1 0.2500 0.7500 0.5000
Au2 0.5000 0.5000 0.0000
Er1 0.7500 0.2500 0.5000

## Properties
total moment = 0.0 μB per cell
SG = No. 119
DFT total energy = -68.4 eV per cell
raw formation energy = -1.073 eV per atom
mass density = 9.13 Mg/m³

(11)
The following is a DFT calculation (PBE-GGA) of a relaxed Mg2AgSb crystal.

abc: 5.3061 5.3061 5.3061
angles: 129.72 129.69 73.88
Fractional coordinates of all 4 atoms:
Ag1 0.7500 0.2500 0.5000
Mg1 0.5002 0.5002 0.0000
Mg2 0.9998 0.9998 0.0000
Sb1 0.2500 0.7500 0.5000

## Properties
total moment = 0.0 μB per cell
SG = No. 139
DFT total energy = -10.8 eV per cell
raw formation energy = -0.152 eV per atom
mass density = 5.36 Mg/m³

(12)
The following is a DFT calculation (PBE-GGA) of a relaxed Te2RuPb crystal.

abc: 12.4357 12.4357 12.4357
angles: 14.71 14.71 14.71
Fractional coordinates of all 4 atoms:
Ru1 0.0000 0.0000 0.0000
Pb1 0.5000 0.5000 0.5000
Te1 0.0692 0.0692 0.0692
Te2 0.9308 0.9308 0.9308

## Properties
total moment = 0.0 μB per cell
SG = No. 166
DFT total energy = -17.1 eV per cell
raw formation energy = 0.531 eV per atom
mass density = 8.66 Mg/m³

(13)
The following is a DFT calculation (PBE-GGA) of a relaxed Te3RhF crystal.

abc: 4.8660 4.8660 4.8660
angles: 90.00 90.00 90.00
Fractional coordinates of all 5 atoms:
F1 0.0000 0.0000 0.0000
Te1 0.0000 0.0000 0.5000
Te2 0.0000 0.5000 0.0000
Te3 0.5000 0.0000 0.0000
Rh1 0.5000 0.5000 0.5000

## Properties
total moment = 1.7 μB per cell
SG = No. 221
DFT total energy = -16.2 eV per cell
raw formation energy = 0.488 eV per atom
mass density = 7.27 Mg/m³

(14)
The following is a DFT calculation (PBE-GGA) of a relaxed LaCo2 crystal.

abc: 5.1589 5.1589 5.1589
angles: 60.00 60.00 60.00
Fractional coordinates of all 6 atoms:
Co1 0.0000 0.5000 0.5000
Co2 0.5000 0.0000 0.5000
Co3 0.5000 0.5000 0.5000
Co4 0.5000 0.5000 0.0000
La1 0.1250 0.1250 0.1250
La2 0.8750 0.8750 0.8750

## Properties
total moment = 2.2 μB per cell
ΔE_f = -1.06 kcal/mol of atoms
SG = No. 227
DFT total energy = -38.6 eV per cell
mass density = 8.78 Mg/m³

(15)
The following is a DFT calculation (PBE-GGA) of a relaxed Tl4Hg crystal.

abc: 6.5434 6.5434 6.5434
angles: 94.92 94.92 145.95
Fractional coordinates of all 5 atoms:
Tl1 0.5915 0.7888 0.3803
Tl2 0.7888 0.4085 0.1973
Tl3 0.2112 0.5915 0.8027
Tl4 0.4085 0.2112 0.6197
Hg1 0.0000 0.0000 0.0000

## Properties
total moment = 0.0 μB per cell
ΔE_f = -0.04 kcal/mol of atoms
SG = No. 87
DFT total energy = -9.8 eV per cell
mass density = 11.27 Mg/m³